Below is MgZnTc2 after structural relaxation, with properties calculated at the PBE level.

Lattice parameters (Å, degrees): 2.642 2.642 8.691 90.00 90.00 90.00
Element x y z (fractional)
Mg 0.000 0.000 0.000
Zn 0.000 0.000 0.500
Tc 0.500 0.500 0.260
Tc 0.500 0.500 0.740

Computed properties:
As for the energy of formation: 246.0 meV per atom. The calculation puts the total magnetic moment at 0.00 μB per atom. The energy relative to the lowest polymorph listed for this composition is 298 meV per atom. The total energy is -5.65 eV per atom. As for the density of states at the Fermi level: 0.880 states/eV/atom.

Below is MoSe after structural relaxation, with properties calculated at the PBE level.

Lattice parameters (Å, degrees): 4.508 4.508 4.508 63.12 63.12 63.12
Element x y z (fractional)
Mo 0.117 0.117 0.117
Mo 0.883 0.883 0.883
Se 0.358 0.358 0.358
Se 0.642 0.642 0.642

Computed properties:
The calculation puts the total magnetic moment at 0.00 μB per atom. The formation energy from raw total energies comes out at 656 meV per atom. The energy relative to the lowest polymorph listed for this composition is 935 meV per atom. The total energy is -6.50 eV per atom. As for the density of states at the Fermi level: 1.282 states/eV/atom.

Below is BeRe2 after structural relaxation, with properties calculated at the PBE level.

Lattice parameters (Å, degrees): 4.231 4.231 5.025 90.00 90.00 120.00
Element x y z (fractional)
Be 0.333 0.667 0.250
Be 0.667 0.333 0.750
Re 0.000 0.000 0.000
Re 0.000 0.000 0.500
Re 0.333 0.667 0.750
Re 0.667 0.333 0.250

Computed properties:
As for the energy of formation: 195.2 meV per atom. The calculation puts the total magnetic moment at 0.00 μB per atom. The energy relative to the lowest polymorph listed for this composition is 467 meV per atom. The total energy is -9.35 eV per atom. As for the density of states at the Fermi level: 0.924 states/eV/atom.

Below is InAgPb2Br6 after structural relaxation, with properties calculated at the PBE level.

Lattice parameters (Å, degrees): 7.711 7.724 8.276 90.01 117.77 119.92
Element x y z (fractional)
In 0.000 0.000 0.000
Ag 0.985 0.492 0.476
Pb 0.592 0.296 0.887
Pb 0.607 0.804 0.411
Br 0.100 0.427 0.191
Br 0.101 0.222 0.671
Br 0.449 0.880 0.671
Br 0.519 0.093 0.191
Br 0.763 0.671 0.190
Br 0.793 0.571 0.672

Computed properties:
The calculation puts the total magnetic moment at 0.00 μB per atom. The formation energy from raw total energies comes out at -725 meV per atom. The total energy is -3.03 eV per atom. As for the density of states at the Fermi level: 0.000 states/eV/atom.

density of states at the Fermi level of number 4 (InAgPb2Br6)? 0.000 states/eV/atom

The highest density of states at the Fermi level belongs to which entry? MoSe